No. 1
An optimized crystal structure of BeFe2Mo, computed with PBE-GGA.

```
BeFe2Mo
1.0
2.869 0.000 0.000
0.000 2.869 0.000
0.000 0.000 5.419
Be Fe Mo
1 2 1
Cartesian
0.000 0.000 0.000
1.434 1.434 1.206
1.434 1.434 4.213
0.000 0.000 2.709
```

Properties
total energy = -7.883 eV per atom
ΔE_f = -0.012 eV per atom
calculated volume = 11.15 Å³ per atom
space-group type = P4/mmm, No. 123

=====

No. 2
An optimized crystal structure of BeFeMo2, computed with PBE-GGA.

```
BeFeMo2
1.0
-1.735 1.735 4.253
1.735 -1.735 4.253
1.735 1.735 -4.253
Be Fe Mo
1 1 2
Cartesian
0.000 0.000 0.000
1.735 0.000 2.127
0.000 0.000 4.253
0.000 1.735 2.127
```

Properties
total energy = -8.309 eV per atom
ΔE_f = 0.154 eV per atom
calculated volume = 12.80 Å³ per atom
space-group type = I-4m2, No. 119

=====

No. 3
An optimized crystal structure of BeFeMo2, computed with PBE-GGA.

```
BeFeMo2
1.0
1.638 -2.071 0.000
1.638 2.071 0.000
0.000 0.000 7.650
Be Fe Mo
1 1 2
Cartesian
0.000 0.000 0.000
1.638 0.000 6.154
0.000 0.000 4.105
1.638 0.000 1.803
```

Properties
total energy = -8.403 eV per atom
ΔE_f = 0.060 eV per atom
calculated volume = 12.98 Å³ per atom
space-group type = Cmm2, No. 35

=====

No. 4
An optimized crystal structure of Be3FeMo2, computed with PBE-GGA.

```
Be3FeMo2
1.0
2.265 1.308 3.699
-2.265 1.308 3.699
0.000 -2.616 3.699
Be Fe Mo
3 1 2
Cartesian
-1.133 -0.654 3.699
-1.133 0.654 7.398
0.000 1.308 3.699
0.000 0.000 5.548
0.000 0.000 1.339
0.000 0.000 9.758
```

Properties
total energy = -7.119 eV per atom
ΔE_f = -0.235 eV per atom
calculated volume = 10.95 Å³ per atom
space-group type = R-3m, No. 166

=====

No. 5
An optimized crystal structure of Be2FeMo, computed with PBE-GGA.

```
Be2FeMo
1.0
-1.870 1.870 3.122
1.870 -1.870 3.122
1.870 1.870 -3.122
Be Fe Mo
2 1 1
Cartesian
1.870 0.000 1.561
0.000 1.870 1.561
0.000 0.000 0.000
0.000 0.000 3.122
```

Properties
total energy = -6.600 eV per atom
ΔE_f = 0.086 eV per atom
calculated volume = 10.91 Å³ per atom
space-group type = I4/mmm, No. 139

=====

No. 6
An optimized crystal structure of Be17FeMo, computed with PBE-GGA.

```
Be17FeMo
1.0
3.612 2.085 3.516
-3.612 2.085 3.516
0.000 -4.171 3.516
Be Fe Mo
17 1 1
Cartesian
0.000 0.000 0.557
0.000 -2.129 3.331
-1.844 1.064 3.331
-1.070 -2.257 5.123
-2.490 0.202 5.123
0.000 0.000 2.706
-1.743 -1.006 6.754
1.070 -2.257 5.123
-1.420 2.055 5.123
0.000 -2.071 7.033
-1.793 1.035 7.033
1.844 1.064 3.331
1.743 -1.006 6.754
0.000 2.012 6.754
2.490 0.202 5.123
1.420 2.055 5.123
1.793 1.035 7.033
0.000 0.000 5.192
0.000 0.000 8.578
```

Properties
total energy = -4.458 eV per atom
ΔE_f = -0.109 eV per atom
calculated volume = 8.36 Å³ per atom
space-group type = R3m, No. 160

=====

No. 7
An optimized crystal structure of Be2FeMo, computed with PBE-GGA.

```
Be2FeMo
1.0
2.674 0.000 0.000
0.000 2.674 0.000
0.000 0.000 5.936
Be Fe Mo
2 1 1
Cartesian
0.000 0.000 1.244
0.000 0.000 4.692
1.337 1.337 0.000
1.337 1.337 2.968
```

Properties
total energy = -6.708 eV per atom
ΔE_f = -0.021 eV per atom
calculated volume = 10.61 Å³ per atom
space-group type = P4/mmm, No. 123

=====

No. 8
An optimized crystal structure of BeFe2Mo, computed with PBE-GGA.

```
BeFe2Mo
1.0
-1.720 1.720 3.861
1.720 -1.720 3.861
1.720 1.720 -3.861
Be Fe Mo
1 2 1
Cartesian
0.000 0.000 0.000
1.720 0.000 1.931
0.000 0.000 3.861
0.000 1.720 1.931
```

Properties
total energy = -7.803 eV per atom
ΔE_f = 0.067 eV per atom
calculated volume = 11.42 Å³ per atom
space-group type = I-4m2, No. 119